# SrTl4W

A relaxed structure of SrTl4W (PBE-GGA, Alexandria via LeMat-Bulk).

Geometry as POSCAR:
```
SrTl4W
1.0
-5.813 0.703 2.207
-3.837 4.218 -2.578
-4.892 -1.894 -3.411
Sr Tl W
1 4 1
direct
0.000 0.000 0.000
0.872 0.376 0.376
0.376 0.376 0.872
0.376 0.872 0.376
0.376 0.376 0.376
0.750 0.750 0.750
```

Output
* crystal system: cubic
* V: 28.88 Å³/atom
* space-group type: F-43m (216)
* total DFT energy (no corrections): -0.239 Ry per atom
* ΔE_f: 0.766 eV per atom